1.
DFT (PBE) results for a relaxed structure of PmIn2Sn2.

Summary:
Its space group is I4/mmm. For the density, the calculation gives 6.979 g cm⁻³. For the excess energy over the best structure of this formula in the dataset, the calculation gives 0.1648 eV per atom. As for the total magnetic moment: 0.0 μB/f.u. As for the energy relative to the elements: -0.176 eV per atom.

Cell and atoms, written as CIF:
```
data_PmIn2Sn2
_chemical_formula_sum 'Pm1 In2 Sn2'
_cell_length_a 8.342
_cell_length_b 8.342
_cell_length_c 8.342
_cell_angle_alpha 149.90
_cell_angle_beta 149.90
_cell_angle_gamma 43.09
_symmetry_space_group_name_H-M 'P 1'
_symmetry_Int_Tables_number 1
_symmetry_space_group_name_Hall 'P 1'
loop_
_atom_site_label
_atom_site_type_symbol
_atom_site_fract_x
_atom_site_fract_y
_atom_site_fract_z
Pm1 Pm 0.000 0.000 0.000
In1 In 0.250 0.750 0.500
In2 In 0.750 0.250 0.500
Sn1 Sn 0.405 0.405 0.000
Sn2 Sn 0.595 0.595 0.000
```

=====

2.
DFT (PBE) results for a relaxed structure of PmInSn.

Summary:
Its space group is I4mm. For the density, the calculation gives 7.137 g cm⁻³. For the excess energy over the best structure of this formula in the dataset, the calculation gives 0.1898 eV per atom. As for the total magnetic moment: 0.0 μB/f.u. As for the energy relative to the elements: -0.293 eV per atom.

Cell and atoms, written as CIF:
```
data_PmInSn
_chemical_formula_sum 'Pm1 In1 Sn1'
_cell_length_a 5.529
_cell_length_b 5.529
_cell_length_c 5.529
_cell_angle_alpha 133.26
_cell_angle_beta 133.26
_cell_angle_gamma 68.25
_symmetry_space_group_name_H-M 'P 1'
_symmetry_Int_Tables_number 1
_symmetry_space_group_name_Hall 'P 1'
loop_
_atom_site_label
_atom_site_type_symbol
_atom_site_fract_x
_atom_site_fract_y
_atom_site_fract_z
Pm1 Pm 0.000 0.000 0.000
In1 In 0.662 0.662 0.000
Sn1 Sn 0.343 0.343 0.000
```

=====

Number 1: calculated total energy -19.11 eV per cell. Number 2: calculated total energy -12.37 eV per cell.